Record 1
Computed, not measured: KYCd2Br8 after structural relaxation at the PBE-GGA level of DFT.

The total energy is -38.1 eV for the cell shown. As for the volume: 33.3 Å³/atom. The calculation puts the formation energy from raw total energies at -1.28 eV/atom. Its density of states at the Fermi level is 0.000 states/eV per atom.

Lattice parameters (Å, degrees): 6.567 6.962 8.745 89.81 89.72 89.38
Sites, in units of the cell vectors:
K 0.000 0.000 0.000
Y 0.000 0.000 0.500
Cd 0.499 0.499 0.248
Cd 0.501 0.501 0.752
Br 0.250 0.833 0.722
Br 0.252 0.834 0.277
Br 0.262 0.337 0.500
Br 0.266 0.380 0.000
Br 0.734 0.620 0.000
Br 0.738 0.663 0.500
Br 0.748 0.166 0.723
Br 0.750 0.167 0.278



Record 2
Computed, not measured: AlPdIN2 after structural relaxation at the PBE-GGA level of DFT.

The total energy is -19.6 eV for the cell shown. As for the volume: 22.7 Å³/atom. The calculation puts the formation energy from raw total energies at 1.50 eV/atom. Its density of states at the Fermi level is 1.023 states/eV per atom.

Lattice parameters (Å, degrees): 3.950 3.950 7.270 90.00 90.00 90.00
Sites, in units of the cell vectors:
Al 0.000 0.000 0.000
Pd 0.500 0.500 0.500
I 0.500 0.500 0.000
N 0.000 0.500 0.500
N 0.500 0.000 0.500



Record 3
Computed, not measured: TePRhS2 after structural relaxation at the PBE-GGA level of DFT.

The total energy is -17.3 eV for the cell shown. As for the volume: 24.9 Å³/atom. The calculation puts the formation energy from raw total energies at 1.37 eV/atom. Its density of states at the Fermi level is 1.460 states/eV per atom.

Lattice parameters (Å, degrees): 4.973 4.973 5.042 90.00 90.00 90.00
Sites, in units of the cell vectors:
Te 0.000 0.000 0.000
P 0.000 0.000 0.500
Rh 0.500 0.500 0.500
S 0.000 0.500 0.000
S 0.500 0.000 0.000



Record 4
Computed, not measured: Pr5Si after structural relaxation at the PBE-GGA level of DFT.

The total energy is -59.9 eV for the cell shown. As for the volume: 30.9 Å³/atom. The calculation puts the formation energy from raw total energies at -0.11 eV/atom. Its density of states at the Fermi level is 1.271 states/eV per atom.

Lattice parameters (Å, degrees): 4.857 15.658 4.869 90.00 90.00 90.00
Sites, in units of the cell vectors:
Pr 0.000 0.000 0.000
Pr 0.000 0.155 0.500
Pr 0.000 0.346 0.000
Pr 0.000 0.654 0.000
Pr 0.000 0.845 0.500
Pr 0.500 0.154 0.000
Pr 0.500 0.345 0.500
Pr 0.500 0.500 0.000
Pr 0.500 0.655 0.500
Pr 0.500 0.846 0.000
Si 0.000 0.500 0.500
Si 0.500 0.000 0.500



Record 5
Computed, not measured: Nd6ZnTe3Se2 after structural relaxation at the PBE-GGA level of DFT.

The total energy is -63.0 eV for the cell shown. As for the volume: 29.8 Å³/atom. The calculation puts the formation energy from raw total energies at -1.40 eV/atom. Its density of states at the Fermi level is 0.470 states/eV per atom.

Lattice parameters (Å, degrees): 7.518 7.518 7.705 99.35 99.35 119.88
Sites, in units of the cell vectors:
Nd 0.075 0.406 0.227
Nd 0.254 0.254 0.774
Nd 0.406 0.075 0.227
Nd 0.594 0.925 0.773
Nd 0.746 0.746 0.226
Nd 0.925 0.594 0.773
Zn 0.000 0.000 0.000
Te 0.168 0.832 0.500
Te 0.500 0.500 0.500
Te 0.832 0.168 0.500
Se 0.334 0.666 0.000
Se 0.666 0.334 0.000



Record 6
Computed, not measured: SiHg2Ir after structural relaxation at the PBE-GGA level of DFT.

The total energy is -37.3 eV for the cell shown. As for the volume: 18.9 Å³/atom. The calculation puts the formation energy from raw total energies at 0.61 eV/atom. Its density of states at the Fermi level is 0.819 states/eV per atom.

Lattice parameters (Å, degrees): 2.921 2.921 30.675 90.00 90.00 120.00
Sites, in units of the cell vectors:
Si 0.000 0.000 0.000
Si 0.333 0.667 0.667
Si 0.667 0.333 0.333
Hg 0.000 0.000 0.244
Hg 0.000 0.000 0.756
Hg 0.333 0.667 0.422
Hg 0.333 0.667 0.911
Hg 0.667 0.333 0.089
Hg 0.667 0.333 0.578
Ir 0.000 0.000 0.500
Ir 0.333 0.667 0.167
Ir 0.667 0.333 0.833